(a)
The following is a PBE calculation of a relaxed structure of Sr2ThSe4, from the Alexandria database.

a = 4.153 Å, b = 7.610 Å, c = 14.378 Å
α = 90.00°, β = 90.00°, γ = 105.84°
Atoms (fractional coordinates):
Se (0.016, 0.031, 0.250)
Sr (0.871, 0.742, 0.931)
Sr (0.871, 0.742, 0.569)
Se (0.216, 0.432, 0.629)
Se (0.500, 0.000, 0.500)
Th (0.377, 0.754, 0.250)
Se (0.784, 0.568, 0.371)
Se (0.216, 0.432, 0.871)
Se (0.784, 0.568, 0.129)
Sr (0.129, 0.258, 0.069)
Se (0.500, 0.000, 0.000)
Se (0.984, 0.969, 0.750)
Th (0.623, 0.246, 0.750)
Sr (0.129, 0.258, 0.431)

Calculated values
symmetry = No. 63



(b)
The following is a PBE calculation of a relaxed structure of Sr2ThSe4, from the Alexandria database.

a = 4.449 Å, b = 7.749 Å, c = 12.899 Å
α = 90.00°, β = 90.00°, γ = 90.00°
Atoms (fractional coordinates):
Sr (0.500, 0.912, 0.816)
Se (0.000, 0.867, 0.291)
Se (0.000, 0.133, 0.709)
Th (0.000, 0.000, 0.500)
Se (0.500, 0.261, 0.954)
Se (0.500, 0.239, 0.454)
Sr (0.500, 0.412, 0.684)
Sr (0.500, 0.588, 0.316)
Sr (0.500, 0.088, 0.184)
Se (0.000, 0.633, 0.791)
Se (0.000, 0.367, 0.209)
Se (0.500, 0.761, 0.546)
Th (0.000, 0.500, 0.000)
Se (0.500, 0.739, 0.046)

Calculated values
symmetry = No. 55



Which structure wins on stability? (b) wins.



(a)
The following is a PBE calculation of a relaxed structure of SrTiSe2, from the Alexandria database.

a = 5.035 Å, b = 5.035 Å, c = 5.035 Å
α = 60.00°, β = 60.00°, γ = 60.00°
Site moments in Bohr magnetons follow the coordinates.
Atoms (fractional coordinates):
Ti (0.000, 0.000, 0.000)  1.62
Se (0.750, 0.750, 0.750)  -0.07
Sr (0.500, 0.500, 0.500)  0.05
Se (0.250, 0.250, 0.250)  -0.07

Calculated values
symmetry = No. 225



(b)
The following is a PBE calculation of a relaxed structure of SrTiSe2, from the Alexandria database.

a = 6.373 Å, b = 6.373 Å, c = 7.801 Å
α = 65.89°, β = 65.89°, γ = 90.00°
Site moments in Bohr magnetons follow the coordinates.
Atoms (fractional coordinates):
Se (0.189, 0.625, 0.250)  -0.04
Ti (0.250, 0.750, 0.500)  1.48
Ti (0.500, 0.500, 0.000)  1.46
Se (0.561, 0.125, 0.250)  -0.04
Sr (0.750, 0.250, 0.500)  0.04
Sr (0.000, 0.000, 0.000)  0.04
Se (0.375, 0.439, 0.750)  -0.04
Se (0.875, 0.811, 0.750)  -0.04

Calculated values
symmetry = No. 122



(c)
The following is a PBE calculation of a relaxed structure of SrTiSe2, from the Alexandria database.

a = 9.221 Å, b = 9.221 Å, c = 9.221 Å
α = 23.99°, β = 23.99°, γ = 23.99°
Site moments in Bohr magnetons follow the coordinates.
Atoms (fractional coordinates):
Sr (0.000, 0.000, 0.000)  0.09
Se (0.113, 0.113, 0.113)  -0.04
Se (0.887, 0.887, 0.887)  -0.04
Ti (0.500, 0.500, 0.500)  0.77

Calculated values
symmetry = No. 166



Which structure wins on stability? (b) wins.